No. 1
14
Lattice="-2.177 5.099 6.442 2.177 -5.099 6.442 2.177 5.099 -6.442" Properties=species:S:1:pos:R:3 comment="Ca3Ga11, optimized geometry, DFT PBE-GGA" spacegroup="Immm (71)" ef_ev_per_atom=-0.368 pbc="T T T"
Ca 0.000 0.000 0.000
Ca 0.000 0.000 4.073
Ca 0.000 0.000 8.812
Ga 2.177 -1.281 2.067
Ga 2.177 -2.317 4.534
Ga 2.177 1.281 2.067
Ga 2.177 2.975 0.000
Ga 0.000 2.781 1.908
Ga 0.000 5.099 0.000
Ga 2.177 2.317 4.534
Ga 0.000 2.123 6.442
Ga 0.000 3.817 4.376
Ga 0.000 7.416 1.908
Ga 0.000 6.380 4.376

No. 2
4
Lattice="1.986 1.146 6.060 -1.986 1.146 6.060 0.000 -2.293 6.060" Properties=species:S:1:pos:R:3 comment="SrCuSi2, optimized geometry, DFT PBE-GGA" spacegroup="R3m (160)" formation_energy_uncorrected_ev_per_atom=-0.20 pbc="T T T"
Sr 0.000 0.000 0.000
Cu 0.000 0.000 14.821
Si 0.000 0.000 3.663
Si 0.000 0.000 8.203

No. 3
6
Lattice="0.000 3.669 3.669 3.669 0.000 3.669 3.669 3.669 0.000" Properties=species:S:1:pos:R:3 comment="HfZrV4, optimized geometry, DFT PBE-GGA" spacegroup="F-43m (216)" ef_ev_per_atom=0.041 pbc="T T T"
Hf 0.000 0.000 0.000
Zr 1.834 1.834 1.834
V 4.587 2.751 2.751
V 2.751 4.587 2.751
V 2.751 2.751 4.587
V 4.587 4.587 4.587

no.,ρ (g/cm3)
1,5.1
2,4.2
3,8.0